# 1
Compound: NdEr6Tm3
Source: the Alexandria database
Functional: PBE-GGA
Structure: optimized geometry

Calculated values
* formation energy: 0.281 eV per atom
* DFT total energy: -4.275 eV per atom
* crystal system: trigonal
* DOS at the Fermi energy: 19.85 states/eV/cell
* symmetry: R3 (146)

Structure (CIF):
```
data_NdEr6Tm3
_chemical_formula_sum 'Nd1 Er6 Tm3'
_symmetry_space_group_name_H-M 'P 1'
_symmetry_Int_Tables_number 1
_cell_length_a 9.693
_cell_length_b 9.693
_cell_length_c 6.817
_cell_angle_alpha 44.69
_cell_angle_beta 44.69
_cell_angle_gamma 60.00
loop_
_symmetry_equiv_pos_as_xyz
'x,y,z'
loop_
_atom_site_label
_atom_site_fract_x
_atom_site_fract_y
_atom_site_fract_z
_atom_site_occupancy
Er1 0.565 0.238 0.291 1
Er2 0.735 0.069 0.788 1
Er3 0.906 0.565 0.291 1
Er4 0.407 0.735 0.788 1
Er5 0.238 0.906 0.291 1
Er6 0.069 0.407 0.788 1
Nd1 0.898 0.898 0.306 1
Tm1 0.640 0.640 0.081 1
Tm2 0.146 0.146 0.562 1
Tm3 0.395 0.395 0.814 1
```

***

# 2
Compound: ZnGaMoIr
Source: the Alexandria database
Functional: PBE-GGA
Structure: optimized geometry

Calculated values
* formation energy: 0.030 eV per atom
* DFT total energy: -5.968 eV per atom
* crystal system: trigonal
* DOS at the Fermi energy: 5.36 states/eV/cell
* symmetry: R3m (160)

Structure (CIF):
```
data_ZnGaMoIr
_chemical_formula_sum 'Zn3 Ga3 Mo3 Ir3'
_symmetry_space_group_name_H-M 'P 1'
_symmetry_Int_Tables_number 1
_cell_length_a 4.212
_cell_length_b 4.212
_cell_length_c 13.323
_cell_angle_alpha 90.00
_cell_angle_beta 90.00
_cell_angle_gamma 120.00
loop_
_symmetry_equiv_pos_as_xyz
'x,y,z'
loop_
_atom_site_label
_atom_site_fract_x
_atom_site_fract_y
_atom_site_fract_z
_atom_site_occupancy
Zn1 0.667 0.333 0.368 1
Zn2 0.000 0.000 0.035 1
Zn3 0.333 0.667 0.702 1
Ir1 0.667 0.333 0.180 1
Ir2 0.000 0.000 0.847 1
Ir3 0.333 0.667 0.513 1
Mo1 0.667 0.333 0.573 1
Mo2 0.000 0.000 0.240 1
Mo3 0.333 0.667 0.906 1
Ga1 0.667 0.333 0.779 1
Ga2 0.333 0.667 0.112 1
Ga3 0.000 0.000 0.446 1
```

***

# 3
Compound: TbPm2Dy8
Source: the Alexandria database
Functional: PBE-GGA
Structure: optimized geometry

Calculated values
* formation energy: 0.161 eV per atom
* DFT total energy: -4.470 eV per atom
* crystal system: monoclinic
* DOS at the Fermi energy: 16.14 states/eV/cell
* symmetry: C2/m (12)

Structure (CIF):
```
data_TbPm2Dy8
_chemical_formula_sum 'Tb1 Pm2 Dy8'
_symmetry_space_group_name_H-M 'P 1'
_symmetry_Int_Tables_number 1
_cell_length_a 6.667
_cell_length_b 10.205
_cell_length_c 10.205
_cell_angle_alpha 38.05
_cell_angle_beta 59.45
_cell_angle_gamma 59.45
loop_
_symmetry_equiv_pos_as_xyz
'x,y,z'
loop_
_atom_site_label
_atom_site_fract_x
_atom_site_fract_y
_atom_site_fract_z
_atom_site_occupancy
Pm1 0.397 0.201 0.201 1
Pm2 0.603 0.799 0.799 1
Dy1 0.819 0.244 0.244 1
Dy2 0.270 0.412 0.412 1
Dy3 0.770 0.174 0.649 1
Dy4 0.730 0.588 0.588 1
Dy5 0.230 0.351 0.826 1
Dy6 0.770 0.649 0.174 1
Dy7 0.181 0.756 0.756 1
Dy8 0.230 0.826 0.351 1
Tb1 0.000 0.000 0.000 1
```

***

# 4
Compound: CaNiW2
Source: the Alexandria database
Functional: PBE-GGA
Structure: optimized geometry

Calculated values
* formation energy: 0.752 eV per atom
* DFT total energy: -7.670 eV per atom
* crystal system: tetragonal
* DOS at the Fermi energy: 6.00 states/eV/cell
* symmetry: P4/mmm (123)

Structure (CIF):
```
data_CaNiW2
_chemical_formula_sum 'Ca1 Ni1 W2'
_symmetry_space_group_name_H-M 'P 1'
_symmetry_Int_Tables_number 1
_cell_length_a 3.227
_cell_length_b 3.227
_cell_length_c 7.203
_cell_angle_alpha 90.00
_cell_angle_beta 90.00
_cell_angle_gamma 90.00
loop_
_symmetry_equiv_pos_as_xyz
'x,y,z'
loop_
_atom_site_label
_atom_site_fract_x
_atom_site_fract_y
_atom_site_fract_z
_atom_site_occupancy
Ni1 0.500 0.500 0.750 1
W1 0.000 0.000 0.583 1
W2 0.000 0.000 0.917 1
Ca1 0.500 0.500 0.250 1
```

***

# 5
Compound: Sc2AgIr
Source: the Alexandria database
Functional: PBE-GGA
Structure: optimized geometry

Calculated values
* formation energy: -0.037 eV per atom
* DFT total energy: -6.131 eV per atom
* crystal system: trigonal
* DOS at the Fermi energy: 2.42 states/eV/cell
* symmetry: R3m (160)

Structure (CIF):
```
data_Sc2AgIr
_chemical_formula_sum 'Sc2 Ag1 Ir1'
_symmetry_space_group_name_H-M 'P 1'
_symmetry_Int_Tables_number 1
_cell_length_a 9.612
_cell_length_b 9.612
_cell_length_c 9.612
_cell_angle_alpha 18.58
_cell_angle_beta 18.58
_cell_angle_gamma 18.58
loop_
_symmetry_equiv_pos_as_xyz
'x,y,z'
loop_
_atom_site_label
_atom_site_fract_x
_atom_site_fract_y
_atom_site_fract_z
_atom_site_occupancy
Ag1 0.496 0.496 0.496 1
Ir1 0.746 0.746 0.746 1
Sc1 0.013 0.013 0.013 1
Sc2 0.245 0.245 0.245 1
```

***

# 6
Compound: HoZnCd3
Source: the Alexandria database
Functional: PBE-GGA
Structure: optimized geometry

Calculated values
* formation energy: -0.186 eV per atom
* DFT total energy: -1.906 eV per atom
* crystal system: orthorhombic
* DOS at the Fermi energy: 8.22 states/eV/cell
* symmetry: Pnma (62)

Structure (CIF):
```
data_HoZnCd3
_chemical_formula_sum 'Ho4 Zn4 Cd12'
_symmetry_space_group_name_H-M 'P 1'
_symmetry_Int_Tables_number 1
_cell_length_a 4.162
_cell_length_b 9.078
_cell_length_c 11.834
_cell_angle_alpha 90.00
_cell_angle_beta 90.00
_cell_angle_gamma 90.00
loop_
_symmetry_equiv_pos_as_xyz
'x,y,z'
loop_
_atom_site_label
_atom_site_fract_x
_atom_site_fract_y
_atom_site_fract_z
_atom_site_occupancy
Cd1 0.250 0.564 0.094 1
Cd2 0.250 0.064 0.406 1
Cd3 0.750 0.936 0.594 1
Cd4 0.250 0.852 0.204 1
Cd5 0.250 0.352 0.296 1
Cd6 0.750 0.587 0.296 1
Cd7 0.750 0.648 0.704 1
Cd8 0.250 0.913 0.796 1
Cd9 0.750 0.436 0.906 1
Cd10 0.750 0.087 0.204 1
Cd11 0.250 0.413 0.704 1
Cd12 0.750 0.148 0.796 1
Zn1 0.250 0.636 0.870 1
Zn2 0.750 0.364 0.130 1
Zn3 0.750 0.864 0.370 1
Zn4 0.250 0.136 0.630 1
Ho1 0.250 0.678 0.497 1
Ho2 0.250 0.178 0.003 1
Ho3 0.750 0.322 0.503 1
Ho4 0.750 0.822 0.997 1
```

***

# 7
Compound: CrAgSb2
Source: the Alexandria database
Functional: PBE-GGA
Structure: optimized geometry

Calculated values
* energy relative to the elements, uncorrected: 1.04 eV/f.u.
* DFT total energy: -4.919 eV per atom
* crystal system: orthorhombic
* DOS at the Fermi energy: 1.85 states/eV/cell
* symmetry: Pmmm (47)

Structure (CIF):
```
data_CrAgSb2
_chemical_formula_sum 'Cr1 Ag1 Sb2'
_symmetry_space_group_name_H-M 'P 1'
_symmetry_Int_Tables_number 1
_cell_length_a 4.710
_cell_length_b 4.685
_cell_length_c 3.923
_cell_angle_alpha 90.00
_cell_angle_beta 90.00
_cell_angle_gamma 90.00
loop_
_symmetry_equiv_pos_as_xyz
'x,y,z'
loop_
_atom_site_label
_atom_site_fract_x
_atom_site_fract_y
_atom_site_fract_z
_atom_site_occupancy
Cr1 0.000 0.500 0.500 1
Sb1 0.000 0.000 0.000 1
Sb2 0.500 0.500 0.000 1
Ag1 0.500 0.000 0.500 1
```

***

# 8
Compound: Sc3Co
Source: the Alexandria database
Functional: PBE-GGA
Structure: optimized geometry

Calculated values
* formation energy: 0.124 eV per atom
* DFT total energy: -6.401 eV per atom
* crystal system: tetragonal
* DOS at the Fermi energy: 6.96 states/eV/cell
* symmetry: I4/mmm (139)

Structure (CIF):
```
data_Sc3Co
_chemical_formula_sum 'Sc3 Co1'
_symmetry_space_group_name_H-M 'P 1'
_symmetry_Int_Tables_number 1
_cell_length_a 4.000
_cell_length_b 4.000
_cell_length_c 5.574
_cell_angle_alpha 68.97
_cell_angle_beta 68.97
_cell_angle_gamma 90.00
loop_
_symmetry_equiv_pos_as_xyz
'x,y,z'
loop_
_atom_site_label
_atom_site_fract_x
_atom_site_fract_y
_atom_site_fract_z
_atom_site_occupancy
Sc1 0.500 0.500 0.000 1
Sc2 0.250 0.750 0.500 1
Sc3 0.750 0.250 0.500 1
Co1 0.000 0.000 0.000 1
```

***

# 9
Compound: I2O3F6
Source: the Alexandria database
Functional: PBE-GGA
Structure: optimized geometry

Calculated values
* energy relative to the elements, uncorrected: -11.34 eV/f.u.
* DFT total energy: -3.686 eV per atom
* crystal system: monoclinic
* DOS at the Fermi energy: 0.00 states/eV/cell
* symmetry: P2_1/c (14)

Structure (CIF):
```
data_I2O3F6
_chemical_formula_sum 'I8 O12 F24'
_symmetry_space_group_name_H-M 'P 1'
_symmetry_Int_Tables_number 1
_cell_length_a 9.254
_cell_length_b 9.944
_cell_length_c 9.465
_cell_angle_alpha 117.82
_cell_angle_beta 90.00
_cell_angle_gamma 90.00
loop_
_symmetry_equiv_pos_as_xyz
'x,y,z'
loop_
_atom_site_label
_atom_site_fract_x
_atom_site_fract_y
_atom_site_fract_z
_atom_site_occupancy
F1 0.258 0.272 0.521 1
F2 0.787 0.574 0.678 1
F3 0.594 0.941 0.850 1
F4 0.073 0.502 0.148 1
F5 0.938 0.400 0.314 1
F6 0.636 0.238 0.996 1
F7 0.713 0.574 0.178 1
F8 0.927 0.498 0.852 1
F9 0.406 0.059 0.150 1
F10 0.758 0.728 0.979 1
F11 0.062 0.600 0.686 1
F12 0.438 0.600 0.186 1
F13 0.427 0.502 0.648 1
F14 0.094 0.059 0.650 1
F15 0.136 0.762 0.504 1
F16 0.242 0.272 0.021 1
F17 0.906 0.941 0.350 1
F18 0.562 0.400 0.814 1
F19 0.864 0.238 0.496 1
F20 0.364 0.762 0.004 1
F21 0.742 0.728 0.479 1
F22 0.213 0.426 0.322 1
F23 0.287 0.426 0.822 1
F24 0.573 0.498 0.352 1
I1 0.239 0.932 0.068 1
I2 0.582 0.683 0.343 1
I3 0.261 0.932 0.568 1
I4 0.761 0.068 0.932 1
I5 0.739 0.068 0.432 1
I6 0.918 0.683 0.843 1
I7 0.082 0.317 0.157 1
I8 0.418 0.317 0.657 1
O1 0.046 0.764 0.009 1
O2 0.764 0.071 0.119 1
O3 0.236 0.929 0.881 1
O4 0.954 0.236 0.991 1
O5 0.546 0.236 0.491 1
O6 0.105 0.151 0.188 1
O7 0.605 0.849 0.312 1
O8 0.264 0.929 0.381 1
O9 0.395 0.151 0.688 1
O10 0.736 0.071 0.619 1
O11 0.454 0.764 0.509 1
O12 0.895 0.849 0.812 1
```

***

# 10
Compound: LaPr2Al
Source: the Alexandria database
Functional: PBE-GGA
Structure: optimized geometry

Calculated values
* formation energy: -0.181 eV per atom
* DFT total energy: -4.738 eV per atom
* crystal system: orthorhombic
* DOS at the Fermi energy: 8.77 states/eV/cell
* symmetry: Amm2 (38)

Structure (CIF):
```
data_LaPr2Al
_chemical_formula_sum 'La2 Pr4 Al2'
_symmetry_space_group_name_H-M 'P 1'
_symmetry_Int_Tables_number 1
_cell_length_a 5.445
_cell_length_b 7.207
_cell_length_c 7.207
_cell_angle_alpha 120.37
_cell_angle_beta 90.00
_cell_angle_gamma 90.00
loop_
_symmetry_equiv_pos_as_xyz
'x,y,z'
loop_
_atom_site_label
_atom_site_fract_x
_atom_site_fract_y
_atom_site_fract_z
_atom_site_occupancy
La1 0.500 0.184 0.360 1
La2 0.500 0.640 0.816 1
Pr1 0.500 0.181 0.819 1
Pr2 0.000 0.821 0.179 1
Pr3 0.000 0.356 0.181 1
Pr4 0.000 0.819 0.644 1
Al1 0.500 0.667 0.333 1
Al2 0.000 0.331 0.669 1
```

***

# 11
Compound: K3SrP
Source: the Alexandria database
Functional: PBE-GGA
Structure: optimized geometry

Calculated values
* formation energy: 0.056 eV per atom
* DFT total energy: -2.021 eV per atom
* crystal system: cubic
* DOS at the Fermi energy: 0.21 states/eV/cell
* symmetry: Pm-3m (221)

Structure (CIF):
```
data_K3SrP
_chemical_formula_sum 'K3 Sr1 P1'
_symmetry_space_group_name_H-M 'P 1'
_symmetry_Int_Tables_number 1
_cell_length_a 6.418
_cell_length_b 6.418
_cell_length_c 6.418
_cell_angle_alpha 90.00
_cell_angle_beta 90.00
_cell_angle_gamma 90.00
loop_
_symmetry_equiv_pos_as_xyz
'x,y,z'
loop_
_atom_site_label
_atom_site_fract_x
_atom_site_fract_y
_atom_site_fract_z
_atom_site_occupancy
K1 0.000 0.500 0.000 1
K2 0.000 0.000 0.500 1
K3 0.500 0.000 0.000 1
P1 0.000 0.000 0.000 1
Sr1 0.500 0.500 0.500 1
```

***

# 12
Compound: Na2URh2O6
Source: the Alexandria database
Functional: PBE-GGA
Structure: optimized geometry

Calculated values
* energy relative to the elements, uncorrected: -18.56 eV/f.u.
* DFT total energy: -6.994 eV per atom
* crystal system: monoclinic
* DOS at the Fermi energy: 5.86 states/eV/cell
* symmetry: C2/m (12)

Structure (CIF):
```
data_Na2URh2O6
_chemical_formula_sum 'Na2 U1 Rh2 O6'
_symmetry_space_group_name_H-M 'P 1'
_symmetry_Int_Tables_number 1
_cell_length_a 5.451
_cell_length_b 5.451
_cell_length_c 6.133
_cell_angle_alpha 100.34
_cell_angle_beta 100.34
_cell_angle_gamma 120.15
loop_
_symmetry_equiv_pos_as_xyz
'x,y,z'
loop_
_atom_site_label
_atom_site_fract_x
_atom_site_fract_y
_atom_site_fract_z
_atom_site_occupancy
U1 0.000 0.000 0.500 1
Na1 0.175 0.825 0.000 1
Na2 0.825 0.175 0.000 1
O1 0.060 0.408 0.707 1
O2 0.259 0.259 0.294 1
O3 0.408 0.060 0.707 1
O4 0.741 0.741 0.706 1
O5 0.592 0.940 0.293 1
O6 0.940 0.592 0.293 1
Rh1 0.336 0.664 0.500 1
Rh2 0.664 0.336 0.500 1
```